PaSbMo2: relaxed, GGA-PBE.

The structure in CIF format:
```
data_PaSbMo2
_chemical_formula_sum 'Pa4 Sb4 Mo8'
_cell_length_a 6.774
_cell_length_b 6.774
_cell_length_c 6.774
_cell_angle_alpha 90.00
_cell_angle_beta 90.00
_cell_angle_gamma 90.00
_symmetry_space_group_name_H-M 'F m -3 m'
_symmetry_Int_Tables_number 225
_symmetry_space_group_name_Hall '-F 4 2 3'
loop_
_atom_site_label
_atom_site_fract_x
_atom_site_fract_y
_atom_site_fract_z
_atom_site_occupancy
Pa1 0.000 0.000 0.000 1
Sb1 0.000 0.000 0.500 1
Mo1 0.250 0.250 0.250 1
```

Values from the calculation:
* energy relative to the elements, uncorrected: 0.08 eV per atom
* offset from the most stable computed form: 0.096 eV/atom
* total magnetization: 2.42 μB/cell
* E: -8.743 eV/atom
* theoretical density: 11.64 g cm⁻³